(1)
Compound: Sr3CaMg
Source: Alexandria via LeMat-Bulk
Functional: PBE
Structure: relaxed

POSCAR file:
```
Sr3CaMg
1.0
6.645 0.000 0.000
0.000 6.645 0.000
0.000 0.000 6.645
Sr Ca Mg
3 1 1
direct
0.000 0.000 0.500
0.000 0.500 0.000
0.500 0.000 0.000
0.000 0.000 0.000
0.500 0.500 0.500
```

volume = 293.4 Å³ per cell
total moment = 0.55 μB/atom
energy relative to the elements = 3.57 eV per formula unit
symmetry = No. 221
excess energy over the best structure of this formula in the dataset = 69.0 kJ per mole of atoms



(2)
Compound: ScBeBr
Source: Alexandria via LeMat-Bulk
Functional: PBE
Structure: relaxed

POSCAR file:
```
ScBeBr
1.0
0.000 3.176 3.176
3.176 0.000 3.176
3.176 3.176 0.000
Sc Be Br
1 1 1
direct
0.000 0.000 0.000
0.500 0.500 0.500
0.750 0.750 0.750
```

volume = 64.1 Å³ per cell
total moment = 0.00 μB/atom
uncorrected formation energy = 43.1 kJ/mol of atoms
symmetry = No. 216
excess energy over the best structure of this formula in the dataset = 55.7 kJ per mole of atoms



What did the first record say?
Compound: Sr3CaMg
Source: Alexandria via LeMat-Bulk
Functional: PBE
Structure: relaxed

POSCAR file:
```
Sr3CaMg
1.0
6.645 0.000 0.000
0.000 6.645 0.000
0.000 0.000 6.645
Sr Ca Mg
3 1 1
direct
0.000 0.000 0.500
0.000 0.500 0.000
0.500 0.000 0.000
0.000 0.000 0.000
0.500 0.500 0.500
```

volume = 293.4 Å³ per cell
total moment = 0.55 μB/atom
energy relative to the elements = 3.57 eV per formula unit
symmetry = No. 221
excess energy over the best structure of this formula in the dataset = 69.0 kJ per mole of atoms